Record 1
CoBPt2N | GGA-PBE | optimized geometry

Structure (POSCAR):
```
CoBPt2N
1.0
4.589 0.000 0.000
0.000 4.589 0.000
0.000 0.000 3.587
Co B Pt N
1 1 2 1
Cartesian
0.000 0.000 0.000
0.000 0.000 1.793
0.000 2.295 0.000
2.295 0.000 0.000
2.295 2.295 1.793
```

Properties
The density of states at the Fermi level is 1.27 states/eV per atom. As for the crystal system: tetragonal. The value obtained for the total energy is -4.7988 eV per atom.

Record 2
CoBS2N | GGA-PBE | optimized geometry

Structure (POSCAR):
```
CoBS2N
1.0
4.623 0.000 0.000
0.000 4.623 0.000
0.000 0.000 3.326
Co B S N
1 1 2 1
Cartesian
0.000 0.000 0.000
2.312 2.312 1.663
0.000 2.312 0.000
2.312 0.000 0.000
0.000 0.000 1.663
```

Properties
The density of states at the Fermi level is 0.67 states/eV per atom. As for the crystal system: tetragonal. The value obtained for the total energy is -4.7957 eV per atom.

Record 3
CoBSe2N | GGA-PBE | optimized geometry

Structure (POSCAR):
```
CoBSe2N
1.0
4.886 0.000 0.000
0.000 4.886 0.000
0.000 0.000 3.331
Co B Se N
1 1 2 1
Cartesian
0.000 0.000 0.000
2.443 2.443 1.665
0.000 2.443 0.000
2.443 0.000 0.000
0.000 0.000 1.665
```

Properties
The density of states at the Fermi level is 0.60 states/eV per atom. The calculation puts the polymorph energy (0 for the lowest one) at 3.305 eV/f.u. As for the crystal system: tetragonal. The value obtained for the total energy is -4.6913 eV per atom.

Record 4
CoBSeN2 | GGA-PBE | optimized geometry

Structure (POSCAR):
```
CoBSeN2
1.0
3.387 0.000 0.000
0.000 3.387 0.000
0.000 0.000 8.350
Co B Se N
1 1 1 2
Cartesian
0.000 0.000 0.000
1.694 1.694 4.175
0.000 0.000 4.175
0.000 1.694 0.000
1.694 0.000 0.000
```

Properties
The density of states at the Fermi level is 0.59 states/eV per atom. The calculation puts the polymorph energy (0 for the lowest one) at 1.735 eV/f.u. As for the crystal system: tetragonal. The value obtained for the total energy is -5.3526 eV per atom.

Record 5
CoBSeN2 | GGA-PBE | optimized geometry

Structure (POSCAR):
```
CoBSeN2
1.0
3.140 0.000 0.000
0.000 3.140 0.000
0.000 0.000 7.923
Co B Se N
1 1 1 2
Cartesian
0.000 0.000 0.000
1.570 1.570 3.961
1.570 1.570 0.000
0.000 1.570 3.961
1.570 0.000 3.961
```

Properties
The density of states at the Fermi level is 0.71 states/eV per atom. The calculation puts the polymorph energy (0 for the lowest one) at 0.000 eV/f.u. As for the crystal system: tetragonal. The value obtained for the total energy is -5.6996 eV per atom.

Record 6
CoBSe2N | GGA-PBE | optimized geometry

Structure (POSCAR):
```
CoBSe2N
1.0
5.253 0.000 0.000
0.000 5.253 0.000
0.000 0.000 2.692
Co B Se N
1 1 2 1
Cartesian
0.000 0.000 0.000
2.626 2.626 1.346
0.000 2.626 1.346
2.626 0.000 1.346
2.626 2.626 0.000
```

Properties
The density of states at the Fermi level is 1.10 states/eV per atom. The calculation puts the polymorph energy (0 for the lowest one) at 0.000 eV/f.u. As for the crystal system: tetragonal. The value obtained for the total energy is -5.3524 eV per atom.

Record 7
CoBTe2N | GGA-PBE | optimized geometry

Structure (POSCAR):
```
CoBTe2N
1.0
5.550 0.000 0.000
0.000 5.550 0.000
0.000 0.000 2.809
Co B Te N
1 1 2 1
Cartesian
0.000 0.000 0.000
2.775 2.775 1.404
0.000 2.775 1.404
2.775 0.000 1.404
2.775 2.775 0.000
```

Properties
The density of states at the Fermi level is 1.20 states/eV per atom. The calculation puts the polymorph energy (0 for the lowest one) at 0.000 eV/f.u. As for the crystal system: tetragonal. The value obtained for the total energy is -5.1007 eV per atom.

Record 8
CoBTeN2 | GGA-PBE | optimized geometry

Structure (POSCAR):
```
CoBTeN2
1.0
3.271 0.000 0.000
0.000 3.271 0.000
0.000 0.000 7.690
Co B Te N
1 1 1 2
Cartesian
0.000 0.000 0.000
1.635 1.635 3.845
1.635 1.635 0.000
0.000 1.635 3.845
1.635 0.000 3.845
```

Properties
The density of states at the Fermi level is 0.63 states/eV per atom. The calculation puts the polymorph energy (0 for the lowest one) at 0.000 eV/f.u. As for the crystal system: tetragonal. The value obtained for the total energy is -5.3453 eV per atom.